(1)
# CeSmHoEr (PBE, optimized geometry)
data_CeSmHoEr
_chemical_formula_sum 'Ce4 Sm4 Ho4 Er4'
_symmetry_space_group_name_H-M 'F -4 3 m'
_symmetry_Int_Tables_number 216
_symmetry_space_group_name_Hall 'F -4 2 3'
_cell_length_a 7.9991
_cell_length_b 7.9991
_cell_length_c 7.9991
_cell_angle_alpha 90.00
_cell_angle_beta 90.00
_cell_angle_gamma 90.00
loop_
_atom_site_label
_atom_site_type_symbol
_atom_site_fract_x
_atom_site_fract_y
_atom_site_fract_z
Ce1 Ce 0.0000 0.0000 0.0000
Sm1 Sm 0.0000 0.0000 0.5000
Ho1 Ho 0.2500 0.2500 0.2500
Er1 Er 0.2500 0.2500 0.7500
# Crystal system: cubic
# Calculated total energy, Ry/atom: -0.3519

(2)
# Ce2SmHo6Er3 (PBE, optimized geometry)
data_Ce2SmHo6Er3
_chemical_formula_sum 'Ce4 Sm2 Ho12 Er6'
_symmetry_space_group_name_H-M 'C 1 2/m 1'
_symmetry_Int_Tables_number 12
_cell_length_a 6.1057
_cell_length_b 10.5739
_cell_length_c 11.6795
_cell_angle_alpha 90.00
_cell_angle_beta 100.03
_cell_angle_gamma 90.00
loop_
_symmetry_equiv_pos_as_xyz
'x,y,z'
'-x,-y,-z'
'-x,y,-z'
'x,-y,z'
'x+1/2,y+1/2,z'
'-x+1/2,-y+1/2,-z'
'-x+1/2,y+1/2,-z'
'x+1/2,-y+1/2,z'
loop_
_atom_site_label
_atom_site_type_symbol
_atom_site_fract_x
_atom_site_fract_y
_atom_site_fract_z
Ce1 Ce 0.0000 0.1667 0.0000
Sm1 Sm 0.0000 0.5000 0.0000
Ho1 Ho 0.2484 0.0000 0.2507
Ho2 Ho 0.2479 0.1679 0.7493
Er1 Er 0.0000 0.0000 0.5000
Er2 Er 0.0000 0.3338 0.5000
# Crystal system: monoclinic
# Calculated total energy, Ry/atom: -0.3500

(3)
# CeSm2HoEr (PBE, optimized geometry)
data_CeSm2HoEr
_chemical_formula_sum 'Ce2 Sm4 Ho2 Er2'
_symmetry_space_group_name_H-M 'P 1 2/c 1'
_symmetry_Int_Tables_number 13
_cell_length_a 6.6494
_cell_length_b 8.1397
_cell_length_c 6.0955
_cell_angle_alpha 90.00
_cell_angle_beta 90.06
_cell_angle_gamma 90.00
loop_
_symmetry_equiv_pos_as_xyz
'x,y,z'
'-x,-y,-z'
'-x,y,-z+1/2'
'x,-y,z+1/2'
loop_
_atom_site_label
_atom_site_type_symbol
_atom_site_fract_x
_atom_site_fract_y
_atom_site_fract_z
Ce1 Ce 0.0000 0.0000 0.0000
Sm1 Sm 0.2628 0.3110 0.2504
Ho1 Ho 0.0000 0.3533 0.7500
Er1 Er 0.5000 0.1263 0.7500
# Crystal system: monoclinic
# Calculated total energy, Ry/atom: -0.3392

(4)
# CeSm2HoEr4 (PBE, optimized geometry)
data_CeSm2HoEr4
_chemical_formula_sum 'Ce1 Sm2 Ho1 Er4'
_symmetry_space_group_name_H-M 'P 1 2/m 1'
_symmetry_Int_Tables_number 10
_cell_length_a 6.1315
_cell_length_b 3.5409
_cell_length_c 11.6935
_cell_angle_alpha 90.00
_cell_angle_beta 100.16
_cell_angle_gamma 90.00
loop_
_symmetry_equiv_pos_as_xyz
'x,y,z'
'-x,-y,-z'
'-x,y,-z'
'x,-y,z'
loop_
_atom_site_label
_atom_site_type_symbol
_atom_site_fract_x
_atom_site_fract_y
_atom_site_fract_z
Ce1 Ce 0.0000 0.0000 0.0000
Sm1 Sm 0.5000 0.0000 0.5000
Sm2 Sm 0.5000 0.5000 0.0000
Ho1 Ho 0.0000 0.5000 0.5000
Er1 Er 0.2464 0.0000 0.7499
Er2 Er 0.2461 0.5000 0.2485
# Crystal system: monoclinic
# Calculated total energy, Ry/atom: -0.3479

(5)
# Ce2Sm6Ho3Er (PBE, optimized geometry)
data_Ce2Sm6Ho3Er
_chemical_formula_sum 'Ce4 Sm12 Ho6 Er2'
_symmetry_space_group_name_H-M 'C 1 2/m 1'
_symmetry_Int_Tables_number 12
_cell_length_a 6.1923
_cell_length_b 10.7263
_cell_length_c 11.8372
_cell_angle_alpha 90.00
_cell_angle_beta 100.08
_cell_angle_gamma 90.00
loop_
_symmetry_equiv_pos_as_xyz
'x,y,z'
'-x,-y,-z'
'-x,y,-z'
'x,-y,z'
'x+1/2,y+1/2,z'
'-x+1/2,-y+1/2,-z'
'-x+1/2,y+1/2,-z'
'x+1/2,-y+1/2,z'
loop_
_atom_site_label
_atom_site_type_symbol
_atom_site_fract_x
_atom_site_fract_y
_atom_site_fract_z
Ce1 Ce 0.0000 0.1666 0.0000
Sm1 Sm 0.2485 0.1675 0.7507
Sm2 Sm 0.2490 0.0000 0.2497
Ho1 Ho 0.0000 0.0000 0.5000
Ho2 Ho 0.0000 0.3338 0.5000
Er1 Er 0.0000 0.5000 0.0000
# Crystal system: monoclinic
# Calculated total energy, Ry/atom: -0.3543

(6)
# Tb5CeHo2Er (PBE, optimized geometry)
data_Tb5CeHo2Er
_chemical_formula_sum 'Tb20 Ce4 Ho8 Er4'
_symmetry_space_group_name_H-M 'C m c 21'
_symmetry_Int_Tables_number 36
_cell_length_a 5.6847
_cell_length_b 21.4864
_cell_length_c 9.5440
_cell_angle_alpha 90.00
_cell_angle_beta 90.00
_cell_angle_gamma 90.00
loop_
_symmetry_equiv_pos_as_xyz
'x,y,z'
'-x,-y,z+1/2'
'-x,y,z'
'x,-y,z+1/2'
'x+1/2,y+1/2,z'
'-x+1/2,-y+1/2,z+1/2'
'-x+1/2,y+1/2,z'
'x+1/2,-y+1/2,z+1/2'
loop_
_atom_site_label
_atom_site_type_symbol
_atom_site_fract_x
_atom_site_fract_y
_atom_site_fract_z
Tb1 Tb 0.0000 0.0139 0.0000
Tb2 Tb 0.0000 0.2678 0.3184
Tb3 Tb 0.0000 0.3049 0.7006
Tb4 Tb 0.0000 0.3946 0.0342
Tb5 Tb 0.0000 0.4708 0.7368
Ce1 Ce 0.0000 0.1903 0.0091
Ho1 Ho 0.0000 0.1141 0.3119
Ho2 Ho 0.0000 0.1316 0.6978
Er1 Er 0.0000 0.4028 0.4177
# Crystal system: orthorhombic
# Calculated total energy, Ry/atom: -0.3371

(7)
# Tb3CeHoEr (PBE, optimized geometry)
data_Tb3CeHoEr
_chemical_formula_sum 'Tb12 Ce4 Ho4 Er4'
_symmetry_space_group_name_H-M 'C m c m'
_symmetry_Int_Tables_number 63
_symmetry_space_group_name_Hall '-C 2c 2'
_cell_length_a 5.6426
_cell_length_b 11.7254
_cell_length_c 11.4513
_cell_angle_alpha 90.00
_cell_angle_beta 90.00
_cell_angle_gamma 90.00
loop_
_atom_site_label
_atom_site_type_symbol
_atom_site_fract_x
_atom_site_fract_y
_atom_site_fract_z
Tb1 Tb 0.0000 0.1366 0.2500
Tb2 Tb 0.0000 0.3268 0.0326
Ce1 Ce 0.0000 0.4708 0.7500
Ho1 Ho 0.0000 0.0000 0.0000
Er1 Er 0.0000 0.1718 0.7500
# Crystal system: orthorhombic
# Calculated total energy, Ry/atom: -0.3433

(8)
# Tb2CeHo4Er (PBE, optimized geometry)
data_Tb2CeHo4Er
_chemical_formula_sum 'Tb2 Ce1 Ho4 Er1'
_symmetry_space_group_name_H-M 'P 1 2/m 1'
_symmetry_Int_Tables_number 10
_cell_length_a 6.1090
_cell_length_b 3.5284
_cell_length_c 11.6980
_cell_angle_alpha 90.00
_cell_angle_beta 100.08
_cell_angle_gamma 90.00
loop_
_symmetry_equiv_pos_as_xyz
'x,y,z'
'-x,-y,-z'
'-x,y,-z'
'x,-y,z'
loop_
_atom_site_label
_atom_site_type_symbol
_atom_site_fract_x
_atom_site_fract_y
_atom_site_fract_z
Tb1 Tb 0.0000 0.0000 0.0000
Tb2 Tb 0.0000 0.5000 0.5000
Ce1 Ce 0.5000 0.0000 0.5000
Ho1 Ho 0.2525 0.0000 0.7503
Ho2 Ho 0.2539 0.5000 0.2509
Er1 Er 0.5000 0.5000 0.0000
# Crystal system: monoclinic
# Calculated total energy, Ry/atom: -0.3468

(9)
# Tb5CeHoEr2 (PBE, optimized geometry)
data_Tb5CeHoEr2
_chemical_formula_sum 'Tb20 Ce4 Ho4 Er8'
_symmetry_space_group_name_H-M 'C m c 21'
_symmetry_Int_Tables_number 36
_cell_length_a 5.6809
_cell_length_b 21.4659
_cell_length_c 9.5431
_cell_angle_alpha 90.00
_cell_angle_beta 90.00
_cell_angle_gamma 90.00
loop_
_symmetry_equiv_pos_as_xyz
'x,y,z'
'-x,-y,z+1/2'
'-x,y,z'
'x,-y,z+1/2'
'x+1/2,y+1/2,z'
'-x+1/2,-y+1/2,z+1/2'
'-x+1/2,y+1/2,z'
'x+1/2,-y+1/2,z+1/2'
loop_
_atom_site_label
_atom_site_type_symbol
_atom_site_fract_x
_atom_site_fract_y
_atom_site_fract_z
Tb1 Tb 0.0000 0.0138 0.0000
Tb2 Tb 0.0000 0.2678 0.6816
Tb3 Tb 0.0000 0.3049 0.2992
Tb4 Tb 0.0000 0.3945 0.9668
Tb5 Tb 0.0000 0.4707 0.2637
Ce1 Ce 0.0000 0.1906 0.9903
Ho1 Ho 0.0000 0.4028 0.5837
Er1 Er 0.0000 0.1140 0.6881
Er2 Er 0.0000 0.1319 0.3026
# Crystal system: orthorhombic
# Calculated total energy, Ry/atom: -0.3369

(10)
# Tb2CeHoEr5 (PBE, optimized geometry)
data_Tb2CeHoEr5
_chemical_formula_sum 'Tb8 Ce4 Ho4 Er20'
_symmetry_space_group_name_H-M 'C m c 21'
_symmetry_Int_Tables_number 36
_cell_length_a 5.6485
_cell_length_b 21.3597
_cell_length_c 9.4911
_cell_angle_alpha 90.00
_cell_angle_beta 90.00
_cell_angle_gamma 90.00
loop_
_symmetry_equiv_pos_as_xyz
'x,y,z'
'-x,-y,z+1/2'
'-x,y,z'
'x,-y,z+1/2'
'x+1/2,y+1/2,z'
'-x+1/2,-y+1/2,z+1/2'
'-x+1/2,y+1/2,z'
'x+1/2,-y+1/2,z+1/2'
loop_
_atom_site_label
_atom_site_type_symbol
_atom_site_fract_x
_atom_site_fract_y
_atom_site_fract_z
Tb1 Tb 0.0000 0.1136 0.0000
Tb2 Tb 0.0000 0.1341 0.3853
Ce1 Ce 0.0000 0.1918 0.6976
Ho1 Ho 0.0000 0.4032 0.1064
Er1 Er 0.0000 0.0139 0.6910
Er2 Er 0.0000 0.2668 0.0115
Er3 Er 0.0000 0.3069 0.3927
Er4 Er 0.0000 0.3946 0.7222
Er5 Er 0.0000 0.4714 0.4245
# Crystal system: orthorhombic
# Calculated total energy, Ry/atom: -0.3353

(11)
# Tb2CeHo6Er3 (PBE, optimized geometry)
data_Tb2CeHo6Er3
_chemical_formula_sum 'Tb4 Ce2 Ho12 Er6'
_symmetry_space_group_name_H-M 'C 1 2/m 1'
_symmetry_Int_Tables_number 12
_cell_length_a 6.1118
_cell_length_b 10.5788
_cell_length_c 11.6872
_cell_angle_alpha 90.00
_cell_angle_beta 100.03
_cell_angle_gamma 90.00
loop_
_symmetry_equiv_pos_as_xyz
'x,y,z'
'-x,-y,-z'
'-x,y,-z'
'x,-y,z'
'x+1/2,y+1/2,z'
'-x+1/2,-y+1/2,-z'
'-x+1/2,y+1/2,-z'
'x+1/2,-y+1/2,z'
loop_
_atom_site_label
_atom_site_type_symbol
_atom_site_fract_x
_atom_site_fract_y
_atom_site_fract_z
Tb1 Tb 0.0000 0.1666 0.0000
Ce1 Ce 0.0000 0.5000 0.0000
Ho1 Ho 0.2473 0.5000 0.7489
Ho2 Ho 0.2504 0.1656 0.7491
Er1 Er 0.0000 0.0000 0.5000
Er2 Er 0.0000 0.3327 0.5000
# Crystal system: monoclinic
# Calculated total energy, Ry/atom: -0.3424

(12)
# TbCe2Ho3Er6 (PBE, optimized geometry)
data_TbCe2Ho3Er6
_chemical_formula_sum 'Tb2 Ce4 Ho6 Er12'
_symmetry_space_group_name_H-M 'C 1 2/m 1'
_symmetry_Int_Tables_number 12
_cell_length_a 6.0893
_cell_length_b 10.5432
_cell_length_c 11.6362
_cell_angle_alpha 90.00
_cell_angle_beta 100.04
_cell_angle_gamma 90.00
loop_
_symmetry_equiv_pos_as_xyz
'x,y,z'
'-x,-y,-z'
'-x,y,-z'
'x,-y,z'
'x+1/2,y+1/2,z'
'-x+1/2,-y+1/2,-z'
'-x+1/2,y+1/2,-z'
'x+1/2,-y+1/2,z'
loop_
_atom_site_label
_atom_site_type_symbol
_atom_site_fract_x
_atom_site_fract_y
_atom_site_fract_z
Tb1 Tb 0.0000 0.0000 0.0000
Ce1 Ce 0.0000 0.3334 0.0000
Ho1 Ho 0.0000 0.1661 0.5000
Ho2 Ho 0.0000 0.5000 0.5000
Er1 Er 0.2482 0.3323 0.7502
Er2 Er 0.2486 0.5000 0.2499
# Crystal system: monoclinic
# Calculated total energy, Ry/atom: -0.3494

(13)
# Tb6CeHoEr2 (PBE, optimized geometry)
data_Tb6CeHoEr2
_chemical_formula_sum 'Tb24 Ce4 Ho4 Er8'
_symmetry_space_group_name_H-M 'C 1 2/c 1'
_symmetry_Int_Tables_number 15
_cell_length_a 9.1335
_cell_length_b 14.8758
_cell_length_c 9.5114
_cell_angle_alpha 90.00
_cell_angle_beta 97.77
_cell_angle_gamma 90.00
loop_
_symmetry_equiv_pos_as_xyz
'x,y,z'
'-x,-y,-z'
'-x,y,-z+1/2'
'x,-y,z+1/2'
'x+1/2,y+1/2,z'
'-x+1/2,-y+1/2,-z'
'-x+1/2,y+1/2,-z+1/2'
'x+1/2,-y+1/2,z+1/2'
loop_
_atom_site_label
_atom_site_type_symbol
_atom_site_fract_x
_atom_site_fract_y
_atom_site_fract_z
Tb1 Tb 0.0639 0.1814 0.4429
Tb2 Tb 0.0966 0.3934 0.6180
Tb3 Tb 0.2080 0.2245 0.8154
Ce1 Ce 0.0000 0.4089 0.2500
Ho1 Ho 0.0000 0.0283 0.7500
Er1 Er 0.2436 0.0499 0.0476
# Crystal system: monoclinic
# Calculated total energy, Ry/atom: -0.3372

(14)
# Tb6Ce2Ho3Er (PBE, optimized geometry)
data_Tb6Ce2Ho3Er
_chemical_formula_sum 'Tb12 Ce4 Ho6 Er2'
_symmetry_space_group_name_H-M 'C 1 2/m 1'
_symmetry_Int_Tables_number 12
_cell_length_a 6.1291
_cell_length_b 10.6146
_cell_length_c 11.7391
_cell_angle_alpha 90.00
_cell_angle_beta 100.03
_cell_angle_gamma 90.00
loop_
_symmetry_equiv_pos_as_xyz
'x,y,z'
'-x,-y,-z'
'-x,y,-z'
'x,-y,z'
'x+1/2,y+1/2,z'
'-x+1/2,-y+1/2,-z'
'-x+1/2,y+1/2,-z'
'x+1/2,-y+1/2,z'
loop_
_atom_site_label
_atom_site_type_symbol
_atom_site_fract_x
_atom_site_fract_y
_atom_site_fract_z
Tb1 Tb 0.2487 0.0000 0.2495
Tb2 Tb 0.2488 0.1675 0.7508
Ce1 Ce 0.0000 0.1665 0.0000
Ho1 Ho 0.0000 0.0000 0.5000
Ho2 Ho 0.0000 0.3339 0.5000
Er1 Er 0.0000 0.5000 0.0000
# Crystal system: monoclinic
# Calculated total energy, Ry/atom: -0.3514

(15)
# TbCeHo6Er2 (PBE, optimized geometry)
data_TbCeHo6Er2
_chemical_formula_sum 'Tb4 Ce4 Ho24 Er8'
_symmetry_space_group_name_H-M 'C 1 2/c 1'
_symmetry_Int_Tables_number 15
_cell_length_a 9.1173
_cell_length_b 14.7970
_cell_length_c 9.4458
_cell_angle_alpha 90.00
_cell_angle_beta 97.46
_cell_angle_gamma 90.00
loop_
_symmetry_equiv_pos_as_xyz
'x,y,z'
'-x,-y,-z'
'-x,y,-z+1/2'
'x,-y,z+1/2'
'x+1/2,y+1/2,z'
'-x+1/2,-y+1/2,-z'
'-x+1/2,y+1/2,-z+1/2'
'x+1/2,-y+1/2,z+1/2'
loop_
_atom_site_label
_atom_site_type_symbol
_atom_site_fract_x
_atom_site_fract_y
_atom_site_fract_z
Tb1 Tb 0.0000 0.0293 0.2500
Ce1 Ce 0.0000 0.4094 0.7500
Ho1 Ho 0.0641 0.1820 0.9422
Ho2 Ho 0.0953 0.3922 0.1166
Ho3 Ho 0.2081 0.2255 0.3169
Er1 Er 0.2445 0.0503 0.5485
# Crystal system: monoclinic
# Calculated total energy, Ry/atom: -0.3351

(16)
# Tb2CeHoEr4 (PBE, optimized geometry)
data_Tb2CeHoEr4
_chemical_formula_sum 'Tb2 Ce1 Ho1 Er4'
_symmetry_space_group_name_H-M 'P 4/m m m'
_symmetry_Int_Tables_number 123
_symmetry_space_group_name_Hall '-P 4 2'
_cell_length_a 4.9895
_cell_length_b 4.9895
_cell_length_c 9.9321
_cell_angle_alpha 90.00
_cell_angle_beta 90.00
_cell_angle_gamma 90.00
loop_
_atom_site_label
_atom_site_type_symbol
_atom_site_fract_x
_atom_site_fract_y
_atom_site_fract_z
Tb1 Tb 0.0000 0.0000 0.0000
Tb2 Tb 0.5000 0.5000 0.5000
Ce1 Ce 0.0000 0.0000 0.5000
Ho1 Ho 0.5000 0.5000 0.0000
Er1 Er 0.0000 0.5000 0.2513
# Crystal system: tetragonal
# Calculated total energy, Ry/atom: -0.3461

(17)
# Tb3CeHo6Er2 (PBE, optimized geometry)
data_Tb3CeHo6Er2
_chemical_formula_sum 'Tb6 Ce2 Ho12 Er4'
_symmetry_space_group_name_H-M 'C 1 2/m 1'
_symmetry_Int_Tables_number 12
_cell_length_a 6.1179
_cell_length_b 10.5903
_cell_length_c 11.7045
_cell_angle_alpha 90.00
_cell_angle_beta 100.02
_cell_angle_gamma 90.00
loop_
_symmetry_equiv_pos_as_xyz
'x,y,z'
'-x,-y,-z'
'-x,y,-z'
'x,-y,z'
'x+1/2,y+1/2,z'
'-x+1/2,-y+1/2,-z'
'-x+1/2,y+1/2,-z'
'x+1/2,-y+1/2,z'
loop_
_atom_site_label
_atom_site_type_symbol
_atom_site_fract_x
_atom_site_fract_y
_atom_site_fract_z
Tb1 Tb 0.0000 0.0000 0.0000
Tb2 Tb 0.0000 0.3324 0.0000
Ce1 Ce 0.0000 0.5000 0.5000
Ho1 Ho 0.2481 0.5000 0.2510
Ho2 Ho 0.2491 0.3344 0.7489
Er1 Er 0.0000 0.1667 0.5000
# Crystal system: monoclinic
# Calculated total energy, Ry/atom: -0.3430

(18)
# Tb3Ce2HoEr6 (PBE, optimized geometry)
data_Tb3Ce2HoEr6
_chemical_formula_sum 'Tb6 Ce4 Ho2 Er12'
_symmetry_space_group_name_H-M 'C 1 2/m 1'
_symmetry_Int_Tables_number 12
_cell_length_a 6.1007
_cell_length_b 10.5642
_cell_length_c 11.6443
_cell_angle_alpha 90.00
_cell_angle_beta 100.05
_cell_angle_gamma 90.00
loop_
_symmetry_equiv_pos_as_xyz
'x,y,z'
'-x,-y,-z'
'-x,y,-z'
'x,-y,z'
'x+1/2,y+1/2,z'
'-x+1/2,-y+1/2,-z'
'-x+1/2,y+1/2,-z'
'x+1/2,-y+1/2,z'
loop_
_atom_site_label
_atom_site_type_symbol
_atom_site_fract_x
_atom_site_fract_y
_atom_site_fract_z
Tb1 Tb 0.0000 0.0000 0.0000
Tb2 Tb 0.0000 0.3340 0.0000
Ce1 Ce 0.0000 0.1666 0.5000
Ho1 Ho 0.0000 0.5000 0.5000
Er1 Er 0.2476 0.0000 0.7484
Er2 Er 0.2495 0.1675 0.2516
# Crystal system: monoclinic
# Calculated total energy, Ry/atom: -0.3502

(19)
# TbCeHoEr2 (PBE, optimized geometry)
data_TbCeHoEr2
_chemical_formula_sum 'Tb2 Ce2 Ho2 Er4'
_symmetry_space_group_name_H-M 'P m m a'
_symmetry_Int_Tables_number 51
_cell_length_a 5.8027
_cell_length_b 7.6823
_cell_length_c 7.1455
_cell_angle_alpha 90.00
_cell_angle_beta 90.00
_cell_angle_gamma 90.00
loop_
_symmetry_equiv_pos_as_xyz
'x,y,z'
'-x,-y,-z'
'-x+1/2,-y,z'
'x+1/2,y,-z'
'x+1/2,-y,-z'
'-x+1/2,y,z'
'-x,y,-z'
'x,-y,z'
loop_
_atom_site_label
_atom_site_type_symbol
_atom_site_fract_x
_atom_site_fract_y
_atom_site_fract_z
Tb1 Tb 0.2500 0.0000 0.1592
Ce1 Ce 0.0000 0.5000 0.0000
Ho1 Ho 0.2500 0.5000 0.3888
Er1 Er 0.2500 0.2062 0.6791
# Crystal system: orthorhombic
# Calculated total energy, Ry/atom: -0.3342

(20)
# TbCeHo3Er (PBE, optimized geometry)
data_TbCeHo3Er
_chemical_formula_sum 'Tb4 Ce4 Ho12 Er4'
_symmetry_space_group_name_H-M 'C m c m'
_symmetry_Int_Tables_number 63
_symmetry_space_group_name_Hall '-C 2c 2'
_cell_length_a 4.9960
_cell_length_b 14.9486
_cell_length_c 9.9734
_cell_angle_alpha 90.00
_cell_angle_beta 90.00
_cell_angle_gamma 90.00
loop_
_atom_site_label
_atom_site_type_symbol
_atom_site_fract_x
_atom_site_fract_y
_atom_site_fract_z
Tb1 Tb 0.0000 0.0000 0.0000
Ce1 Ce 0.0000 0.4999 0.2500
Ho1 Ho 0.0000 0.1672 0.2500
Ho2 Ho 0.0000 0.3350 0.0000
Er1 Er 0.0000 0.1671 0.7500
# Crystal system: orthorhombic
# Calculated total energy, Ry/atom: -0.3495